1.
Compound: InHgPb2
Source: Alexandria
Functional: PBE
Structure: optimized geometry

The energy relative to the lowest polymorph listed for this composition comes out at 0.014 eV/atom. Its formation energy is 19 meV/atom.

The structure belongs to space group Cm (No. 8); the cell edges are 11.6114, 3.5630 and 5.7413 Å and the angles 90.00°, 104.61° and 90.00°. The asymmetric unit holds In at (0.0000, 0.0000, 0.0000), Hg at (0.2356, 0.5000, 0.2536), Pb at (0.2457, 0.0000, 0.7648) and Pb at (0.4845, 0.0000, 0.4815).

=====

2.
Compound: Ce6AsP2Cl3
Source: Alexandria
Functional: PBE
Structure: optimized geometry

The calculation puts the uncorrected formation energy at -1.524 eV/atom.

The structure belongs to space group C2/m (No. 12); the cell edges are 17.7298, 4.1229 and 8.1212 Å and the angles 90.00°, 101.81° and 90.00°. The asymmetric unit holds Ce at (0.0045, 0.0000, 0.2539), Ce at (0.1679, 0.5000, 0.0937), Ce at (0.1692, 0.5000, 0.5755), As at (0.0000, 0.5000, 0.0000), P at (0.1676, 0.0000, 0.3340), Cl at (0.0000, 0.5000, 0.5000) and Cl at (0.1646, 0.0000, 0.8324).

=====

3.
Compound: CeSbRh2
Source: Alexandria
Functional: PBE
Structure: optimized geometry

The calculation puts the uncorrected formation energy at -0.610 eV/atom.

The structure belongs to space group P4/mmm (No. 123); the cell edges are 4.6049, 4.6049 and 3.6641 Å and the angles 90.00°, 90.00° and 90.00°. The asymmetric unit holds Ce at (0.0000, 0.0000, 0.0000), Sb at (0.5000, 0.5000, 0.0000) and Rh at (0.0000, 0.5000, 0.5000).

=====

4.
Compound: Hf4Ti2Ni
Source: Alexandria
Functional: PBE
Structure: optimized geometry

Its formation energy is 666 meV/atom.

The structure belongs to space group I4/mmm (No. 139); the cell edges are 4.7379, 4.7379 and 13.8115 Å and the angles 90.00°, 90.00° and 90.00°. The asymmetric unit holds Hf at (0.0000, 0.0000, 0.1845), Hf at (0.0000, 0.5000, 0.0000), Ti at (0.0000, 0.0000, 0.3833) and Ni at (0.0000, 0.0000, 0.0000).

=====

5.
Compound: CrTe2I
Source: Alexandria
Functional: PBE
Structure: optimized geometry

The calculation puts the uncorrected formation energy at -0.213 eV/atom. The energy relative to the lowest polymorph listed for this composition comes out at 0.000 eV/atom.

The structure belongs to space group C2/m (No. 12); the cell edges are 15.1007, 3.9633 and 9.5161 Å and the angles 90.00°, 97.94° and 90.00°. The asymmetric unit holds Cr at (0.1997, 0.0000, 0.3339), Te at (0.1791, 0.0000, 0.6107), Te at (0.1900, 0.0000, 0.0406) and I at (0.0687, 0.5000, 0.2570).

=====

6.
Compound: Pm4CoRh2
Source: Alexandria
Functional: PBE
Structure: optimized geometry

The energy relative to the lowest polymorph listed for this composition comes out at 0.230 eV/atom. Its formation energy is -173 meV/atom.

The structure belongs to space group I4/mmm (No. 139); the cell edges are 5.0516, 5.0516 and 14.4055 Å and the angles 90.00°, 90.00° and 90.00°. The asymmetric unit holds Pm at (0.0000, 0.0000, 0.1918), Pm at (0.0000, 0.5000, 0.0000), Co at (0.0000, 0.0000, 0.0000) and Rh at (0.0000, 0.0000, 0.3744).

=====

7.
Compound: BeCr2Br
Source: Alexandria
Functional: PBE
Structure: optimized geometry

The calculation puts the uncorrected formation energy at 0.951 eV/atom. The energy relative to the lowest polymorph listed for this composition comes out at 0.572 eV/atom.

The structure belongs to space group Pmmm (No. 47); the cell edges are 2.9912, 4.1073 and 4.7072 Å and the angles 90.00°, 90.00° and 90.00°. The asymmetric unit holds Be at (0.0000, 0.0000, 0.0000), Cr at (0.0000, 0.5000, 0.5000), Cr at (0.5000, 0.5000, 0.0000) and Br at (0.5000, 0.0000, 0.5000).

=====

8.
Compound: PrPuPb2
Source: Alexandria
Functional: PBE
Structure: optimized geometry

Its formation energy is -291 meV/atom.

The structure belongs to space group P4/mmm (No. 123); the cell edges are 5.9533, 5.9533 and 3.3591 Å and the angles 90.00°, 90.00° and 90.00°. The asymmetric unit holds Pr at (0.0000, 0.0000, 0.0000), Pu at (0.5000, 0.5000, 0.0000) and Pb at (0.0000, 0.5000, 0.5000).

=====

9.
Compound: Ac14SmEr
Source: Alexandria
Functional: PBE
Structure: optimized geometry

Its formation energy is 29 meV/atom.

The structure belongs to space group Amm2 (No. 38); the cell edges are 11.2025, 11.1396 and 11.1360 Å and the angles 90.00°, 90.00° and 90.00°. The asymmetric unit holds Ac at (0.0000, 0.0000, 0.0000), Ac at (0.0000, 0.0000, 0.4996), Ac at (0.0000, 0.2492, 0.2498), Ac at (0.2555, 0.0000, 0.7492), Ac at (0.2564, 0.2494, 0.4999), Ac at (0.2576, 0.0000, 0.2505), Ac at (0.5000, 0.2490, 0.7499), Sm at (0.5000, 0.0000, 0.9996) and Er at (0.5000, 0.0000, 0.5002).

=====

10.
Compound: CaAc2In12Rh3
Source: Alexandria
Functional: PBE
Structure: optimized geometry

Its formation energy is -76 meV/atom.

The structure belongs to space group R-3m (No. 166, hexagonal axes); the cell edges are 9.4624, 9.4624 and 20.9521 Å and the angles 90.00°, 90.00° and 120.00°. The asymmetric unit holds Ca at (0.0000, 0.0000, 0.0000), Ac at (0.0000, 0.0000, 0.4133), In at (0.0614, 0.5307, 0.8017), In at (0.0834, 0.5417, 0.3779) and Rh at (0.0000, 0.5000, 0.5000).

=====

Number 1: size of the total moment 0.000 μB/f.u.. Number 2: size of the total moment 3.647 μB/f.u.. Number 3: size of the total moment 0.359 μB/f.u.. Number 4: size of the total moment 2.628 μB/f.u.. Number 5: size of the total moment 2.994 μB/f.u.. Number 6: size of the total moment 0.000 μB/f.u.. Number 7: size of the total moment 5.146 μB/f.u.. Number 8: size of the total moment 6.103 μB/f.u.. Number 9: size of the total moment 0.001 μB/f.u.. Number 10: size of the total moment 0.000 μB/f.u..